A geometry-optimized LiMg5Cd4 structure. Source: Alexandria via LeMat-Bulk, functional PBE.

Summary:
Formation enthalpy at 0 K = -0.114 eV/atom
Relative energy among the computed polymorphs = 0 meV/atom
D(E_F) = 2.8 states/eV/f.u.
Raw total energy = -1.47 eV per atom

```
10
Lattice="7.247 -2.499 0.000 7.247 2.499 0.000 -1.474 0.000 5.853" Properties=species:S:1:pos:R:3 pbc="T T T"
Li 0.000 0.000 0.000
Mg -0.737 0.000 2.927
Mg 1.768 0.000 4.745
Mg 4.827 0.000 3.491
Mg 8.193 0.000 2.362
Mg 11.252 0.000 1.108
Cd 2.335 0.000 1.745
Cd 5.758 0.000 0.654
Cd 7.262 0.000 5.200
Cd 10.685 0.000 4.108
```